Below is an optimized crystal structure of KBa2YSi, with properties calculated at the PBE-GGA level.

CIF file:
```
data_KBa2YSi
_cell_length_a 6.063
_cell_length_b 6.063
_cell_length_c 5.774
_cell_angle_alpha 90.00
_cell_angle_beta 90.00
_cell_angle_gamma 90.00
_space_group_name_H-M_alt 'P 4/m m m'
_space_group_IT_number 123
_space_group_name_Hall '-P 4 2'
loop_
_atom_site_label
_atom_site_fract_x
_atom_site_fract_y
_atom_site_fract_z
_atom_site_occupancy
K1 0.000 0.000 0.000 1
Ba1 0.000 0.500 0.000 1
Y1 0.000 0.000 0.500 1
Si1 0.500 0.500 0.500 1
```

Total magnetic moment = 1.1 μB per formula unit
Raw formation energy = 28.2 kcal/mol of atoms
DOS(E_F) = 1.556 states/eV per atom

***

Below is an optimized crystal structure of KBa2Sm, with properties calculated at the PBE-GGA level.

CIF file:
```
data_KBa2Sm
_cell_length_a 4.128
_cell_length_b 4.128
_cell_length_c 12.817
_cell_angle_alpha 90.00
_cell_angle_beta 90.00
_cell_angle_gamma 90.00
_space_group_name_H-M_alt 'P 4/m m m'
_space_group_IT_number 123
_space_group_name_Hall '-P 4 2'
loop_
_atom_site_label
_atom_site_fract_x
_atom_site_fract_y
_atom_site_fract_z
_atom_site_occupancy
K1 0.000 0.000 0.000 1
Ba1 0.500 0.500 0.287 1
Sm1 0.000 0.000 0.500 1
```

Total magnetic moment = 0.9 μB per formula unit
DOS(E_F) = 1.886 states/eV per atom
ΔE_f = 0.191 eV/atom